# Nd4TcBr2Cl

An optimized crystal structure of Nd4TcBr2Cl (PBE, Alexandria).

Calculated values
Calculated density ... 6.35 g/cm3
M_tot ... 0.00 μB per formula unit
VASP energy ... -5.22 eV/atom
ΔE_f (raw) ... -691 kJ/mol of formula units

Cell lengths 7.675, 3.752, 8.092 Å; angles 90.00, 102.54, 90.00 degrees
Sites, in units of the cell vectors:
Nd  0.229  0.000  0.218
Nd  0.230  0.500  0.791
Nd  0.770  0.500  0.209
Nd  0.771  0.000  0.782
Tc  0.000  0.500  0.000
Br  0.000  0.000  0.500
Br  0.500  0.500  0.500
Cl  0.500  0.000  0.000

***

# KSnB

An optimized crystal structure of KSnB (PBE, Alexandria).

Calculated values
Energy of formation from the pure elements ... 2.1 eV/f.u.
Calculated density ... 3.03 g/cm3
M_tot ... 0.00 μB per formula unit
VASP energy ... -3.23 eV/atom

Cell lengths 4.757, 4.757, 4.089 Å; angles 90.00, 90.00, 90.00 degrees
Sites, in units of the cell vectors:
K  0.000  0.000  0.000
Sn  0.500  0.500  0.500
B  0.500  0.500  0.000

***

# Ac8NiAu2

An optimized crystal structure of Ac8NiAu2 (PBE, Alexandria).

Calculated values
Energy of formation from the pure elements ... -2.8 eV/f.u.
Calculated density ... 9.60 g/cm3
M_tot ... 0.00 μB per formula unit
VASP energy ... -4.37 eV/atom
E above lowest polymorph ... 64.1 meV per atom

Cell lengths 10.069, 10.069, 7.513 Å; angles 100.18, 100.18, 31.60 degrees
Sites, in units of the cell vectors:
Ac  0.027  0.027  0.284
Ac  0.206  0.206  0.837
Ac  0.341  0.341  0.524
Ac  0.412  0.412  0.053
Ac  0.588  0.588  0.947
Ac  0.659  0.659  0.476
Ac  0.794  0.794  0.163
Ac  0.973  0.973  0.716
Ni  0.500  0.500  0.500
Au  0.190  0.190  0.250
Au  0.810  0.810  0.750

***

# BaMgPt2

An optimized crystal structure of BaMgPt2 (PBE, Alexandria).

Calculated values
Energy of formation from the pure elements ... -1.5 eV/f.u.
Calculated density ... 10.08 g/cm3
M_tot ... 0.00 μB per formula unit
VASP energy ... -4.27 eV/atom

Cell lengths 5.237, 5.237, 3.316 Å; angles 90.00, 90.00, 90.08 degrees
Sites, in units of the cell vectors:
Ba  0.000  0.000  0.000
Mg  0.500  0.500  0.000
Pt  0.000  0.500  0.500
Pt  0.500  0.000  0.500

***

# ScTcPt2

An optimized crystal structure of ScTcPt2 (PBE, Alexandria).

Calculated values
Energy of formation from the pure elements ... -0.7 eV/f.u.
Calculated density ... 13.48 g/cm3
M_tot ... 0.00 μB per formula unit
VASP energy ... -7.38 eV/atom
E above lowest polymorph ... 453.6 meV per atom

Cell lengths 9.231, 9.231, 9.231 Å; angles 18.01, 18.01, 18.01 degrees
Sites, in units of the cell vectors:
Sc  0.000  0.000  0.000
Tc  0.752  0.752  0.752
Pt  0.252  0.252  0.252
Pt  0.497  0.497  0.497

***

# Pm2Ho4H

An optimized crystal structure of Pm2Ho4H (PBE, Alexandria).

Calculated values
Calculated density ... 7.79 g/cm3
M_tot ... 0.00 μB per formula unit
VASP energy ... -4.39 eV/atom

Cell lengths 9.269, 9.269, 9.269 Å; angles 149.66, 149.66, 43.44 degrees
Sites, in units of the cell vectors:
Pm  0.148  0.148  0.000
Pm  0.852  0.852  0.000
Ho  0.000  0.500  0.500
Ho  0.352  0.352  0.000
Ho  0.500  0.000  0.500
Ho  0.648  0.648  0.000
H  0.500  0.500  0.000

***

# RbAgSnC2

An optimized crystal structure of RbAgSnC2 (PBE, Alexandria).

Calculated values
Energy of formation from the pure elements ... 11.0 eV/f.u.
Calculated density ... 3.80 g/cm3
M_tot ... 1.61 μB per formula unit
VASP energy ... -3.06 eV/atom

Cell lengths 4.406, 4.406, 7.568 Å; angles 90.00, 90.00, 90.00 degrees
Sites, in units of the cell vectors:
Rb  0.000  0.000  0.000
Ag  0.500  0.500  0.000
Sn  0.000  0.000  0.500
C  0.000  0.500  0.500
C  0.500  0.000  0.500

***

# LaPmHg2

An optimized crystal structure of LaPmHg2 (PBE, Alexandria).

Calculated values
Energy of formation from the pure elements ... -1.9 eV/f.u.
Calculated density ... 9.88 g/cm3
M_tot ... 0.77 μB per formula unit
VASP energy ... -3.06 eV/atom
E above lowest polymorph ... 0.0 meV per atom

Cell lengths 3.849, 3.849, 7.773 Å; angles 90.00, 90.00, 90.00 degrees
Sites, in units of the cell vectors:
La  0.000  0.000  0.000
Pm  0.000  0.000  0.500
Hg  0.500  0.500  0.263
Hg  0.500  0.500  0.737

***

# GaAgSn2

An optimized crystal structure of GaAgSn2 (PBE, Alexandria).

Calculated values
Energy of formation from the pure elements ... 0.3 eV/f.u.
Calculated density ... 7.32 g/cm3
M_tot ... 0.00 μB per formula unit
VASP energy ... -3.38 eV/atom

Cell lengths 6.169, 6.169, 6.770 Å; angles 115.49, 115.49, 57.00 degrees
Sites, in units of the cell vectors:
Ga  0.248  0.752  0.750
Ga  0.752  0.248  0.250
Ag  0.217  0.783  0.250
Ag  0.783  0.217  0.750
Sn  0.271  0.288  0.865
Sn  0.288  0.271  0.365
Sn  0.712  0.729  0.635
Sn  0.729  0.712  0.135

***

# Na3Hf3CrS8

An optimized crystal structure of Na3Hf3CrS8 (PBE, Alexandria).

Calculated values
Calculated density ... 4.88 g/cm3
M_tot ... 2.80 μB per formula unit
VASP energy ... -6.47 eV/atom
ΔE_f (raw) ... -1980 kJ/mol of formula units

Cell lengths 8.035, 8.035, 8.035 Å; angles 53.46, 53.46, 53.46 degrees
Sites, in units of the cell vectors:
Na  0.000  0.500  0.500
Na  0.500  0.000  0.500
Na  0.500  0.500  0.000
Hf  0.000  0.000  0.500
Hf  0.000  0.500  0.000
Hf  0.500  0.000  0.000
Cr  0.500  0.500  0.500
S  0.240  0.240  0.240
S  0.246  0.731  0.731
S  0.269  0.269  0.754
S  0.269  0.754  0.269
S  0.731  0.246  0.731
S  0.731  0.731  0.246
S  0.754  0.269  0.269
S  0.760  0.760  0.760

***

# Li6Zn2Si

An optimized crystal structure of Li6Zn2Si (PBE, Alexandria).

Calculated values
Calculated density ... 2.54 g/cm3
M_tot ... 0.00 μB per formula unit
VASP energy ... -2.33 eV/atom
ΔE_f (raw) ... -147 kJ/mol of formula units

Cell lengths 5.117, 5.117, 5.117 Å; angles 96.51, 96.51, 96.51 degrees
Sites, in units of the cell vectors:
Li  0.000  0.336  0.664
Li  0.000  0.664  0.336
Li  0.336  0.000  0.664
Li  0.336  0.664  0.000
Li  0.664  0.000  0.336
Li  0.664  0.336  0.000
Zn  0.165  0.165  0.165
Zn  0.835  0.835  0.835
Si  0.500  0.500  0.500

***

# ZrZnCd3

An optimized crystal structure of ZrZnCd3 (PBE, Alexandria).

Calculated values
Energy of formation from the pure elements ... 4.7 eV/f.u.
Calculated density ... 4.22 g/cm3
M_tot ... 3.18 μB per formula unit
VASP energy ... -1.57 eV/atom
E above lowest polymorph ... 1023.7 meV per atom

Cell lengths 5.791, 5.791, 5.791 Å; angles 90.00, 90.00, 90.00 degrees
Sites, in units of the cell vectors:
Zr  0.000  0.000  0.000
Zn  0.500  0.500  0.500
Cd  0.000  0.000  0.500
Cd  0.000  0.500  0.000
Cd  0.500  0.000  0.000

***

# CaHf3Cu

An optimized crystal structure of CaHf3Cu (PBE, Alexandria).

Calculated values
Energy of formation from the pure elements ... 10.0 eV/f.u.
Calculated density ... 8.51 g/cm3
M_tot ... 0.00 μB per formula unit
VASP energy ... -5.19 eV/atom
E above lowest polymorph ... 1452.4 meV per atom

Cell lengths 4.996, 4.996, 4.996 Å; angles 90.00, 90.00, 90.00 degrees
Sites, in units of the cell vectors:
Ca  0.000  0.000  0.000
Hf  0.000  0.000  0.500
Hf  0.000  0.500  0.000
Hf  0.500  0.000  0.000
Cu  0.500  0.500  0.500